[1]
{"formula": "MnAg2Cl", "functional": "PBE", "state": "relaxed", "e_form_raw_mev_per_atom": -20, "total_energy_ev_per_atom": -4.200, "vol_a3_per_cell": 99, "de_polymorph_ev_per_atom": 0.034, "lattice_angstrom": [[4.888, 0.017, -0.298], [3.835, 3.031, -0.298], [0.911, 0.318, 6.621]], "species": ["Cl", "Ag", "Ag", "Mn"], "frac_coords": [[0.679, 0.679, 0.452], [0.939, 0.939, 0.015], [0.672, 0.672, 0.851], [0.210, 0.210, 0.182]]}

***

[2]
{"formula": "MnAg2Cl", "functional": "PBE", "state": "relaxed", "e_form_raw_mev_per_atom": 315, "total_energy_ev_per_atom": -3.865, "vol_a3_per_cell": 75, "de_polymorph_ev_per_atom": 0.369, "lattice_angstrom": [[5.230, 0.071, 0.000], [1.822, 4.903, 0.000], [-3.526, -2.487, 2.957]], "species": ["Ag", "Mn", "Cl", "Ag"], "frac_coords": [[0.250, 0.750, 0.500], [0.750, 0.250, 0.500], [0.500, 0.500, 0.000], [0.000, 0.000, 0.000]]}

***

[3]
{"formula": "MnAgCl3", "functional": "PBE", "state": "relaxed", "e_form_raw_mev_per_atom": -580, "total_energy_ev_per_atom": -4.093, "vol_a3_per_cell": 121, "de_polymorph_ev_per_atom": 0.241, "lattice_angstrom": [[4.947, 0.000, 0.000], [0.000, 4.947, 0.000], [0.000, 0.000, 4.947]], "species": ["Mn", "Cl", "Ag", "Cl", "Cl"], "frac_coords": [[0.000, 0.000, 0.000], [0.000, 0.000, 0.500], [0.500, 0.500, 0.500], [0.000, 0.500, 0.000], [0.500, 0.000, 0.000]]}